A plane-wave DFT calculation with PBE-GGA was carried out for a relaxed CePm3Tm4 crystal.

Summary:
SG: P2/m
Final energy (eV/atom): -4.72
Crystal system: monoclinic
Magnetization (μB per formula unit): 0.9
Fermi-level density of states (states/eV/cell): 12.7

a b c (Å): 3.556 13.676 6.168
angles (deg): 81.31 90.00 121.36
Site moments in Bohr magnetons follow the coordinates.
Sites, in units of the cell vectors:
Tm: 0.003 0.751 0.753  0.01
Tm: 0.494 0.247 0.754  0.02
Tm: 0.997 0.249 0.247  0.01
Tm: 0.506 0.753 0.246  0.02
Ce: 0.500 0.000 0.000  0.70
Pm: 0.000 0.000 0.500  0.00
Pm: 0.500 0.500 0.500  -0.01
Pm: 0.000 0.500 0.000  -0.01